Version P
# KPt2Au2, relaxed, DFT PBE-GGA
data_KPt2Au2
_chemical_formula_sum 'K2 Pt4 Au4'
_symmetry_space_group_name_H-M 'P 4/m b m'
_symmetry_Int_Tables_number 127
_symmetry_space_group_name_Hall '-P 4 2ab'
_cell_length_a 8.406
_cell_length_b 8.406
_cell_length_c 2.801
_cell_angle_alpha 90.00
_cell_angle_beta 90.00
_cell_angle_gamma 90.00
loop_
_atom_site_label
_atom_site_type_symbol
_atom_site_fract_x
_atom_site_fract_y
_atom_site_fract_z
_atom_site_occupancy
K1 K 0.000 0.000 0.000 1
Pt1 Pt 0.168 0.332 0.500 1
Au1 Au 0.129 0.629 0.000 1
# Magnetic moment, μB per atom: 0.00

Version Q
# KPt2Au2, relaxed, DFT PBE-GGA
data_KPt2Au2
_chemical_formula_sum 'K2 Pt4 Au4'
_symmetry_space_group_name_H-M 'P 4/m b m'
_symmetry_Int_Tables_number 127
_symmetry_space_group_name_Hall '-P 4 2ab'
_cell_length_a 8.348
_cell_length_b 8.348
_cell_length_c 2.834
_cell_angle_alpha 90.00
_cell_angle_beta 90.00
_cell_angle_gamma 90.00
loop_
_atom_site_label
_atom_site_type_symbol
_atom_site_fract_x
_atom_site_fract_y
_atom_site_fract_z
_atom_site_occupancy
K1 K 0.000 0.000 0.000 1
Pt1 Pt 0.114 0.386 0.000 1
Au1 Au 0.183 0.683 0.500 1
# Magnetic moment, μB per atom: 0.00

Version R
# KPt2Au2, relaxed, DFT PBE-GGA
data_KPt2Au2
_chemical_formula_sum 'K2 Pt4 Au4'
_symmetry_space_group_name_H-M 'I 4/m m m'
_symmetry_Int_Tables_number 139
_symmetry_space_group_name_Hall '-I 4 2'
_cell_length_a 4.716
_cell_length_b 4.716
_cell_length_c 10.293
_cell_angle_alpha 90.00
_cell_angle_beta 90.00
_cell_angle_gamma 90.00
loop_
_atom_site_label
_atom_site_type_symbol
_atom_site_fract_x
_atom_site_fract_y
_atom_site_fract_z
_atom_site_occupancy
K1 K 0.000 0.000 0.000 1
Pt1 Pt 0.000 0.000 0.379 1
Au1 Au 0.000 0.500 0.250 1
# Magnetic moment, μB per atom: 0.00

Energy comparison, zero being the most stable, in meV per atom: version P 56; version Q 0; version R 159.

Version P
# K4PtAu, relaxed, DFT PBE-GGA
data_K4PtAu
_chemical_formula_sum 'K16 Pt4 Au4'
_symmetry_space_group_name_H-M 'F -4 3 m'
_symmetry_Int_Tables_number 216
_symmetry_space_group_name_Hall 'F -4 2 3'
_cell_length_a 9.190
_cell_length_b 9.190
_cell_length_c 9.190
_cell_angle_alpha 90.00
_cell_angle_beta 90.00
_cell_angle_gamma 90.00
loop_
_atom_site_label
_atom_site_type_symbol
_atom_site_fract_x
_atom_site_fract_y
_atom_site_fract_z
_atom_site_occupancy
K1 K 0.124 0.124 0.124 1
Pt1 Pt 0.250 0.250 0.750 1
Au1 Au 0.000 0.000 0.500 1
# Magnetic moment, μB per atom: 0.11

Version Q
# K4PtAu, relaxed, DFT PBE-GGA
data_K4PtAu
_chemical_formula_sum 'K8 Pt2 Au2'
_symmetry_space_group_name_H-M 'P 4/m c c'
_symmetry_Int_Tables_number 124
_symmetry_space_group_name_Hall '-P 4 2c'
_cell_length_a 8.486
_cell_length_b 8.486
_cell_length_c 5.778
_cell_angle_alpha 90.00
_cell_angle_beta 90.00
_cell_angle_gamma 90.00
loop_
_atom_site_label
_atom_site_type_symbol
_atom_site_fract_x
_atom_site_fract_y
_atom_site_fract_z
_atom_site_occupancy
K1 K 0.165 0.315 0.000 1
Pt1 Pt 0.000 0.000 0.250 1
Au1 Au 0.500 0.500 0.250 1
# Magnetic moment, μB per atom: 0.00

Energy comparison, zero being the most stable, in meV per atom: version P 529; version Q 0.

Version P
# KRbAu, relaxed, DFT PBE-GGA
data_KRbAu
_chemical_formula_sum 'K4 Rb4 Au4'
_symmetry_space_group_name_H-M 'P n m a'
_symmetry_Int_Tables_number 62
_cell_length_a 10.954
_cell_length_b 5.977
_cell_length_c 8.398
_cell_angle_alpha 90.00
_cell_angle_beta 90.00
_cell_angle_gamma 90.00
loop_
_symmetry_equiv_pos_as_xyz
'x,y,z'
'-x,-y,-z'
'-x+1/2,-y,z+1/2'
'x+1/2,y,-z+1/2'
'x+1/2,-y+1/2,-z+1/2'
'-x+1/2,y+1/2,z+1/2'
'-x,y+1/2,-z'
'x,-y+1/2,z'
loop_
_atom_site_label
_atom_site_type_symbol
_atom_site_fract_x
_atom_site_fract_y
_atom_site_fract_z
_atom_site_occupancy
K1 K 0.165 0.250 0.157 1
Rb1 Rb 0.079 0.250 0.703 1
Au1 Au 0.133 0.750 0.960 1
# Magnetic moment, μB per atom: 0.00

Version Q
# KRbAu, relaxed, DFT PBE-GGA
data_KRbAu
_chemical_formula_sum 'K1 Rb1 Au1'
_symmetry_space_group_name_H-M 'P 3 m 1'
_symmetry_Int_Tables_number 156
_cell_length_a 4.8123
_cell_length_b 4.8123
_cell_length_c 8.1797
_cell_angle_alpha 90.00
_cell_angle_beta 90.00
_cell_angle_gamma 120.00
loop_
_symmetry_equiv_pos_as_xyz
'x,y,z'
'-y,x-y,z'
'-x+y,-x,z'
'-y,-x,z'
'-x+y,y,z'
'x,x-y,z'
loop_
_atom_site_label
_atom_site_type_symbol
_atom_site_fract_x
_atom_site_fract_y
_atom_site_fract_z
_atom_site_occupancy
K1 K 0.0000 0.0000 0.0000 1
Rb1 Rb 0.6667 0.3333 0.4827 1
Au1 Au 0.3333 0.6667 0.2274 1
# Magnetic moment, μB per atom: 0.00

Energy comparison, zero being the most stable, in meV per atom: version P 0; version Q 28.